No. 1
The following is a PBE-GGA calculation of a relaxed structure of Pm2Nd3In, from Alexandria via LeMat-Bulk.

Geometry as CIF:
```
data_Pm2Nd3In
_cell_length_a 8.179
_cell_length_b 8.179
_cell_length_c 4.993
_cell_angle_alpha 90.00
_cell_angle_beta 90.00
_cell_angle_gamma 144.49
_symmetry_space_group_name_H-M 'P 1'
_symmetry_Int_Tables_number 1
_symmetry_space_group_name_Hall 'P 1'
loop_
_atom_site_label
_atom_site_fract_x
_atom_site_fract_y
_atom_site_fract_z
_atom_site_occupancy
Pm1 0.162 0.838 0.000 1
Pm2 0.838 0.162 0.000 1
Nd1 0.000 0.000 0.500 1
Nd2 0.336 0.664 0.500 1
Nd3 0.664 0.336 0.500 1
In1 0.500 0.500 0.000 1
```

Values from the calculation:
Formation energy, eV/atom: -0.1536


No. 2
The following is a PBE-GGA calculation of a relaxed structure of CeTmSi3, from Alexandria via LeMat-Bulk.

Geometry as CIF:
```
data_CeTmSi3
_cell_length_a 12.385
_cell_length_b 12.385
_cell_length_c 3.939
_cell_angle_alpha 90.00
_cell_angle_beta 90.00
_cell_angle_gamma 160.53
_symmetry_space_group_name_H-M 'P 1'
_symmetry_Int_Tables_number 1
_symmetry_space_group_name_Hall 'P 1'
loop_
_atom_site_label
_atom_site_fract_x
_atom_site_fract_y
_atom_site_fract_z
_atom_site_occupancy
Ce1 0.071 0.929 0.750 1
Ce2 0.929 0.071 0.250 1
Tm1 0.203 0.797 0.250 1
Tm2 0.797 0.203 0.750 1
Si1 0.321 0.679 0.250 1
Si2 0.380 0.620 0.750 1
Si3 0.475 0.525 0.750 1
Si4 0.525 0.475 0.250 1
Si5 0.620 0.380 0.250 1
Si6 0.679 0.321 0.750 1
```

Values from the calculation:
E_form (uncorrected), eV per atom: -0.72


No. 3
The following is a PBE-GGA calculation of a relaxed structure of CsBa2TmCl8, from Alexandria via LeMat-Bulk.

Geometry as CIF:
```
data_CsBa2TmCl8
_cell_length_a 6.834
_cell_length_b 6.896
_cell_length_c 9.670
_cell_angle_alpha 90.02
_cell_angle_beta 90.04
_cell_angle_gamma 90.06
_symmetry_space_group_name_H-M 'P 1'
_symmetry_Int_Tables_number 1
_symmetry_space_group_name_Hall 'P 1'
loop_
_atom_site_label
_atom_site_fract_x
_atom_site_fract_y
_atom_site_fract_z
_atom_site_occupancy
Cs1 0.000 0.000 0.000 1
Ba1 0.500 0.500 0.255 1
Ba2 0.500 0.500 0.745 1
Tm1 0.000 0.000 0.500 1
Cl1 0.218 0.846 0.307 1
Cl2 0.218 0.847 0.693 1
Cl3 0.242 0.306 0.500 1
Cl4 0.264 0.402 0.000 1
Cl5 0.736 0.598 0.000 1
Cl6 0.758 0.694 0.500 1
Cl7 0.782 0.153 0.307 1
Cl8 0.782 0.154 0.693 1
```

Values from the calculation:
E_form (uncorrected), eV per atom: -2.33


No. 4
The following is a PBE-GGA calculation of a relaxed structure of Tl2TeO4, from Alexandria via LeMat-Bulk.

Geometry as CIF:
```
data_Tl2TeO4
_cell_length_a 6.221
_cell_length_b 6.530
_cell_length_c 8.423
_cell_angle_alpha 90.00
_cell_angle_beta 107.17
_cell_angle_gamma 90.00
_symmetry_space_group_name_H-M 'P 1'
_symmetry_Int_Tables_number 1
_symmetry_space_group_name_Hall 'P 1'
loop_
_atom_site_label
_atom_site_fract_x
_atom_site_fract_y
_atom_site_fract_z
_atom_site_occupancy
Tl1 0.175 0.250 0.085 1
Tl2 0.234 0.750 0.533 1
Tl3 0.766 0.250 0.467 1
Tl4 0.825 0.750 0.915 1
Te1 0.487 0.250 0.788 1
Te2 0.513 0.750 0.212 1
O1 0.178 0.250 0.707 1
O2 0.394 0.527 0.295 1
O3 0.394 0.973 0.295 1
O4 0.425 0.750 0.982 1
O5 0.575 0.250 0.018 1
O6 0.606 0.027 0.705 1
O7 0.606 0.473 0.705 1
O8 0.822 0.750 0.293 1
```

Values from the calculation:
E_form (uncorrected), eV per atom: -0.84


No. 5
The following is a PBE-GGA calculation of a relaxed structure of Cs3AgAs4Se8, from Alexandria via LeMat-Bulk.

Geometry as CIF:
```
data_Cs3AgAs4Se8
_cell_length_a 13.804
_cell_length_b 13.804
_cell_length_c 23.234
_cell_angle_alpha 115.08
_cell_angle_beta 115.08
_cell_angle_gamma 35.57
_symmetry_space_group_name_H-M 'P 1'
_symmetry_Int_Tables_number 1
_symmetry_space_group_name_Hall 'P 1'
loop_
_atom_site_label
_atom_site_fract_x
_atom_site_fract_y
_atom_site_fract_z
_atom_site_occupancy
Cs1 0.000 0.500 0.000 1
Cs2 0.056 0.340 0.233 1
Cs3 0.120 0.741 0.005 1
Cs4 0.220 0.780 0.750 1
Cs5 0.259 0.880 0.495 1
Cs6 0.340 0.056 0.733 1
Cs7 0.500 0.000 0.500 1
Cs8 0.660 0.944 0.267 1
Cs9 0.741 0.120 0.505 1
Cs10 0.780 0.220 0.250 1
Cs11 0.880 0.259 0.995 1
Cs12 0.944 0.660 0.767 1
Ag1 0.090 0.403 0.412 1
Ag2 0.403 0.090 0.912 1
Ag3 0.597 0.910 0.088 1
Ag4 0.910 0.597 0.588 1
As1 0.134 0.551 0.533 1
As2 0.194 0.537 0.386 1
As3 0.197 0.699 0.300 1
As4 0.301 0.803 0.200 1
As5 0.319 0.367 0.681 1
As6 0.367 0.319 0.181 1
As7 0.449 0.866 0.967 1
As8 0.463 0.806 0.114 1
As9 0.537 0.194 0.886 1
As10 0.551 0.134 0.033 1
As11 0.633 0.681 0.819 1
As12 0.681 0.633 0.319 1
As13 0.699 0.197 0.800 1
As14 0.803 0.301 0.700 1
As15 0.806 0.463 0.614 1
As16 0.866 0.449 0.467 1
Se1 0.043 0.061 0.649 1
Se2 0.061 0.043 0.149 1
Se3 0.074 0.217 0.399 1
Se4 0.099 0.597 0.217 1
Se5 0.192 0.649 0.502 1
Se6 0.202 0.285 0.617 1
Se7 0.217 0.074 0.899 1
Se8 0.258 0.361 0.885 1
Se9 0.285 0.202 0.117 1
Se10 0.351 0.808 0.998 1
Se11 0.361 0.258 0.385 1
Se12 0.370 0.405 0.107 1
Se13 0.400 0.489 0.375 1
Se14 0.403 0.901 0.283 1
Se15 0.405 0.370 0.607 1
Se16 0.489 0.400 0.875 1
Se17 0.511 0.600 0.125 1
Se18 0.595 0.630 0.393 1
Se19 0.597 0.099 0.717 1
Se20 0.600 0.511 0.625 1
Se21 0.630 0.595 0.893 1
Se22 0.639 0.742 0.615 1
Se23 0.649 0.192 0.002 1
Se24 0.715 0.798 0.883 1
Se25 0.742 0.639 0.115 1
Se26 0.783 0.926 0.101 1
Se27 0.798 0.715 0.383 1
Se28 0.808 0.351 0.498 1
Se29 0.901 0.403 0.783 1
Se30 0.926 0.783 0.601 1
Se31 0.939 0.957 0.851 1
Se32 0.957 0.939 0.351 1
```

Values from the calculation:
E_form (uncorrected), eV per atom: -0.54


No. 6
The following is a PBE-GGA calculation of a relaxed structure of KY2Pb, from Alexandria via LeMat-Bulk.

Geometry as CIF:
```
data_KY2Pb
_cell_length_a 3.895
_cell_length_b 5.714
_cell_length_c 5.902
_cell_angle_alpha 90.00
_cell_angle_beta 90.00
_cell_angle_gamma 90.00
_symmetry_space_group_name_H-M 'P 1'
_symmetry_Int_Tables_number 1
_symmetry_space_group_name_Hall 'P 1'
loop_
_atom_site_label
_atom_site_fract_x
_atom_site_fract_y
_atom_site_fract_z
_atom_site_occupancy
K1 0.000 0.000 0.000 1
Y1 0.000 0.500 0.500 1
Y2 0.500 0.500 0.000 1
Pb1 0.500 0.000 0.500 1
```

Values from the calculation:
Formation energy, eV/atom: 0.1794


No. 7
The following is a PBE-GGA calculation of a relaxed structure of CeInI, from Alexandria via LeMat-Bulk.

Geometry as CIF:
```
data_CeInI
_cell_length_a 7.838
_cell_length_b 7.073
_cell_length_c 8.568
_cell_angle_alpha 90.00
_cell_angle_beta 112.31
_cell_angle_gamma 90.00
_symmetry_space_group_name_H-M 'P 1'
_symmetry_Int_Tables_number 1
_symmetry_space_group_name_Hall 'P 1'
loop_
_atom_site_label
_atom_site_fract_x
_atom_site_fract_y
_atom_site_fract_z
_atom_site_occupancy
Ce1 0.098 0.099 0.354 1
Ce2 0.098 0.401 0.854 1
Ce3 0.902 0.599 0.146 1
Ce4 0.902 0.901 0.646 1
In1 0.162 0.633 0.543 1
In2 0.162 0.867 0.043 1
In3 0.838 0.133 0.957 1
In4 0.838 0.367 0.457 1
I1 0.342 0.104 0.750 1
I2 0.342 0.396 0.250 1
I3 0.658 0.604 0.750 1
I4 0.658 0.896 0.250 1
```

Values from the calculation:
E_form (uncorrected), eV per atom: -0.38


VASP energy
In order: -4.58; -6.06; -4.32; -4.80; -3.78; -4.25; -3.79
Unit: eV/atom
Spin magnetization
In order: 0.00; 0.00; 0.00; 0.00; 0.00; 0.00; 1.23
Unit: μB/f.u.